No. 1
An optimized crystal structure of Ac6Rh3Pb2. Source: Alexandria, functional PBE.

The formation energy from the elements is -537 meV per atom. The total energy is -5.458 eV/atom. Its space-group type is C2/m, No. 12. As for the magnetization: 0.00 μB/f.u.

Cell and atoms, written as extended XYZ:
```
11
Lattice="3.7671 -6.3405 0.0000 3.7671 6.3405 0.0000 -2.4213 0.0000 8.5786" Properties=species:S:1:pos:R:3 pbc="T T T"
Ac 0.0782 2.1551 6.8386
Ac 1.2986 0.0000 1.5546
Ac 0.0782 -2.1551 6.8386
Ac 5.0347 2.1551 1.7401
Ac 3.8142 0.0000 7.0240
Ac 5.0347 -2.1551 1.7401
Rh 3.7671 4.1473 0.0000
Rh 3.7671 0.0000 0.0000
Rh 3.7671 -4.1473 0.0000
Pb 2.5564 1.6935 4.2893
Pb 2.5564 -1.6935 4.2893
```

---

No. 2
An optimized crystal structure of Tb6Mg2Cu. Source: Alexandria, functional PBE.

The formation energy from the elements is 64 meV per atom. The total energy is -3.833 eV/atom. Its space-group type is P2_1/c, No. 14. As for the magnetization: 0.00 μB/f.u.

Cell and atoms, written as extended XYZ:
```
18
Lattice="6.6617 0.0000 0.0000 0.0000 7.2925 0.0000 -3.4969 0.0000 10.7158" Properties=species:S:1:pos:R:3 pbc="T T T"
Tb -0.2403 0.2627 2.7154
Tb -1.9887 3.3836 8.0734
Tb 0.9936 5.1325 0.3987
Tb -0.7549 5.8063 5.7566
Tb -1.3452 1.1575 10.7150
Tb 0.4033 2.4888 5.3571
Tb 2.7615 4.8038 5.3587
Tb 4.5100 6.1351 0.0008
Tb 3.9197 1.4862 4.9592
Tb 2.1712 2.1600 10.3171
Tb 5.1535 3.9090 2.6425
Tb 3.4051 7.0298 8.0004
Mg 0.2269 0.6232 7.9621
Mg 1.9753 3.0230 2.6042
Mg 1.1895 4.2695 8.1117
Mg 2.9379 6.6693 2.7538
Cu 1.5824 0.0000 5.3579
Cu 3.3308 3.6463 0.0000
```

---

Number 1 is which compound?
Ac6Rh3Pb2